Record 1
Compound: SmY2MoN4
Source: Alexandria via LeMat-Bulk
Functional: PBE
Structure: relaxed

abc: 3.4238 6.1166 11.8621
angles: 90.00 90.00 106.25
Fractional coordinates of all 16 atoms:
1 Y 0.6304 0.2607 0.0390
2 Y 0.6304 0.2607 0.4610
3 Y 0.3696 0.7393 0.9610
4 Y 0.3696 0.7393 0.5390
5 Sm 0.8974 0.7948 0.2500
6 Sm 0.1026 0.2052 0.7500
7 Mo 0.1574 0.3149 0.2500
8 Mo 0.8426 0.6851 0.7500
9 N 0.7367 0.4734 0.6251
10 N 0.0000 0.0000 0.0000
11 N 0.2633 0.5266 0.1251
12 N 0.7367 0.4734 0.8749
13 N 0.4458 0.8917 0.7500
14 N 0.0000 0.0000 0.5000
15 N 0.5542 0.1083 0.2500
16 N 0.2633 0.5266 0.3749

final energy = -8.843 eV/atom
space group = Cmcm, No. 63
formation energy without anion corrections = -1.120 eV per atom



Record 2
Compound: LiScBi2
Source: Alexandria via LeMat-Bulk
Functional: PBE
Structure: relaxed

abc: 3.6819 3.6819 7.5111
angles: 90.00 90.00 90.00
Fractional coordinates of all 4 atoms:
1 Li 0.5000 0.5000 0.5000
2 Sc 0.5000 0.5000 0.0000
3 Bi 0.0000 0.0000 0.2471
4 Bi 0.0000 0.0000 0.7529

energy of formation = -0.40 eV/atom
final energy = -4.405 eV/atom
space group = P4/mmm, No. 123
excess energy over the best structure of this formula in the dataset = 20 meV per atom



Record 3
Compound: Cu4Ru2O
Source: Alexandria via LeMat-Bulk
Functional: PBE
Structure: relaxed

abc: 3.5688 3.5688 8.4036
angles: 77.74 77.74 90.00
Fractional coordinates of all 7 atoms:
1 Cu 0.1356 0.1356 0.7288
2 Cu 0.8644 0.8644 0.2712
3 Cu 0.5000 0.0000 0.0000
4 Cu 0.0000 0.5000 0.0000
5 Ru 0.2854 0.2854 0.4292
6 Ru 0.7146 0.7146 0.5708
7 O 0.0000 0.0000 0.0000

final energy = -5.142 eV/atom
space group = I4/mmm, No. 139
formation energy without anion corrections = 0.557 eV per atom



Record 4
Compound: AcLa2Pu
Source: Alexandria via LeMat-Bulk
Functional: PBE
Structure: relaxed

abc: 3.7616 3.7616 12.1903
angles: 81.12 81.12 60.00
Fractional coordinates of all 4 atoms:
1 La 0.0771 0.0771 0.7687
2 La 0.2564 0.2564 0.2308
3 Pu 0.6668 0.6668 0.9997
4 Ac 0.4997 0.4997 0.5008

energy of formation = 0.15 eV/atom
final energy = -6.927 eV/atom
space group = R3m, No. 160
excess energy over the best structure of this formula in the dataset = 26 meV per atom



Record 5
Compound: Ac7YHo2
Source: Alexandria via LeMat-Bulk
Functional: PBE
Structure: relaxed

abc: 6.1059 9.6547 9.6547
angles: 63.34 90.00 90.00
Fractional coordinates of all 10 atoms:
1 Ac 0.5000 0.3082 0.9382
2 Ac 0.5000 0.9382 0.3082
3 Ac 0.5000 0.0618 0.6918
4 Ac 0.5000 0.5000 0.5000
5 Ac 0.0000 0.7593 0.7593
6 Ac 0.0000 0.2407 0.2407
7 Ac 0.5000 0.6918 0.0618
8 Ho 0.5000 0.2979 0.2979
9 Ho 0.5000 0.7021 0.7021
10 Y 0.0000 0.0000 0.0000

energy of formation = 0.63 eV/atom
final energy = -3.809 eV/atom
space group = Cmmm, No. 65



Record 6
Compound: Tl2InAg
Source: Alexandria via LeMat-Bulk
Functional: PBE
Structure: relaxed

abc: 6.2280 6.2280 6.2280
angles: 145.45 128.43 63.57
Fractional coordinates of all 4 atoms:
1 Tl 0.9787 0.9787 0.0000
2 Tl 0.5213 0.5213 0.0000
3 Ag 0.7500 0.2500 0.5000
4 In 0.2500 0.7500 0.5000

energy of formation = 0.11 eV/atom
final energy = -2.475 eV/atom
space group = Immm, No. 71
excess energy over the best structure of this formula in the dataset = 63 meV per atom



Record 7
Compound: HgRuPb2
Source: Alexandria via LeMat-Bulk
Functional: PBE
Structure: relaxed

abc: 3.2909 3.2909 8.7617
angles: 90.00 90.00 90.00
Fractional coordinates of all 4 atoms:
1 Ru 0.0000 0.0000 0.5044
2 Hg 0.5000 0.5000 0.7008
3 Pb 0.5000 0.5000 0.3134
4 Pb 0.0000 0.0000 0.9814

energy of formation = 0.36 eV/atom
final energy = -3.886 eV/atom
space group = P4mm, No. 99



Record 8
Compound: RbTl2PdAu
Source: Alexandria via LeMat-Bulk
Functional: PBE
Structure: relaxed

abc: 5.3228 5.3228 5.5053
angles: 90.00 90.00 90.00
Fractional coordinates of all 5 atoms:
1 Tl 0.5000 0.0000 0.0000
2 Tl 0.0000 0.5000 0.0000
3 Pd 0.0000 0.0000 0.0000
4 Au 0.0000 0.0000 0.5000
5 Rb 0.5000 0.5000 0.5000

energy of formation = -0.10 eV/atom
final energy = -2.933 eV/atom
space group = P4/mmm, No. 123



Record 9
Compound: Co4TcHg
Source: Alexandria via LeMat-Bulk
Functional: PBE
Structure: relaxed

abc: 4.8220 4.8220 4.8220
angles: 60.00 60.00 60.00
Fractional coordinates of all 6 atoms:
1 Co 0.3744 0.8768 0.3744
2 Co 0.8768 0.3744 0.3744
3 Co 0.3744 0.3744 0.3744
4 Co 0.3744 0.3744 0.8768
5 Hg 0.7500 0.7500 0.7500
6 Tc 0.0000 0.0000 0.0000

energy of formation = 0.32 eV/atom
final energy = -6.195 eV/atom
space group = F-43m, No. 216



Record 10
Compound: Nd12Sm7Pb
Source: Alexandria via LeMat-Bulk
Functional: PBE
Structure: relaxed

abc: 9.2557 9.2557 9.2557
angles: 72.79 72.79 72.79
Fractional coordinates of all 20 atoms:
1 Nd 0.1597 0.5237 0.5238
2 Nd 0.4762 0.8403 0.4763
3 Nd 0.1322 0.7647 0.7647
4 Nd 0.5238 0.1597 0.5237
5 Nd 0.2353 0.2353 0.8678
6 Nd 0.8403 0.4763 0.4762
7 Nd 0.7647 0.1322 0.7647
8 Nd 0.7647 0.7647 0.1322
9 Nd 0.5237 0.5238 0.1597
10 Nd 0.4763 0.4762 0.8403
11 Nd 0.8678 0.2353 0.2353
12 Nd 0.2353 0.8678 0.2353
13 Sm 0.5046 0.1469 0.1469
14 Sm 0.4954 0.8531 0.8531
15 Sm 0.8531 0.4954 0.8531
16 Sm 0.5000 0.5000 0.5000
17 Sm 0.8531 0.8531 0.4954
18 Sm 0.1469 0.5046 0.1469
19 Sm 0.1469 0.1469 0.5046
20 Pb 0.0000 0.0000 0.0000

energy of formation = 0.12 eV/atom
final energy = -4.574 eV/atom
space group = R-3m, No. 166



Record 11
Compound: La2GaPb
Source: Alexandria via LeMat-Bulk
Functional: PBE
Structure: relaxed

abc: 8.6911 8.6911 6.9884
angles: 51.55 51.55 90.00
Fractional coordinates of all 8 atoms:
1 Ga 0.5000 0.5000 0.0000
2 Ga 0.2500 0.7500 0.5000
3 La 0.1413 0.6250 0.2500
4 La 0.8750 0.8587 0.7500
5 La 0.6087 0.1250 0.2500
6 La 0.3750 0.3913 0.7500
7 Pb 0.7500 0.2500 0.5000
8 Pb 0.0000 0.0000 0.0000

energy of formation = -0.29 eV/atom
final energy = -4.436 eV/atom
space group = I-42d, No. 122
excess energy over the best structure of this formula in the dataset = 317 meV per atom



Record 12
Compound: Pm2AsRh
Source: Alexandria via LeMat-Bulk
Functional: PBE
Structure: relaxed

abc: 3.6783 3.6783 6.8270
angles: 90.00 90.00 90.00
Fractional coordinates of all 4 atoms:
1 As 0.5000 0.5000 0.0000
2 Rh 0.5000 0.5000 0.5000
3 Pm 0.0000 0.0000 0.2514
4 Pm 0.0000 0.0000 0.7486

energy of formation = -0.86 eV/atom
final energy = -6.237 eV/atom
space group = P4/mmm, No. 123
excess energy over the best structure of this formula in the dataset = 0 meV per atom



Record 13
Compound: InAs3Se
Source: Alexandria via LeMat-Bulk
Functional: PBE
Structure: relaxed

abc: 5.0651 5.0651 5.0651
angles: 90.00 90.00 90.00
Fractional coordinates of all 5 atoms:
1 As 0.5000 0.0000 0.0000
2 As 0.0000 0.0000 0.5000
3 As 0.0000 0.5000 0.0000
4 Se 0.0000 0.0000 0.0000
5 In 0.5000 0.5000 0.5000

final energy = -3.358 eV/atom
space group = Pm-3m, No. 221
formation energy without anion corrections = 0.677 eV per atom
excess energy over the best structure of this formula in the dataset = 0 meV per atom



Record 14
Compound: Cs3H6Rh
Source: Alexandria via LeMat-Bulk
Functional: PBE
Structure: relaxed

abc: 6.4589 6.4589 9.1227
angles: 90.00 90.00 90.00
Fractional coordinates of all 20 atoms:
1 Rh 0.5000 0.5000 0.5000
2 Rh 0.0000 0.0000 0.0000
3 H 0.0000 0.0000 0.8153
4 H 0.6829 0.6860 0.5000
5 H 0.5000 0.5000 0.6847
6 H 0.3171 0.3140 0.5000
7 H 0.8140 0.8171 0.0000
8 H 0.0000 0.0000 0.1847
9 H 0.1829 0.8140 0.0000
10 H 0.3140 0.6829 0.5000
11 H 0.5000 0.5000 0.3153
12 H 0.8171 0.1860 0.0000
13 H 0.6860 0.3171 0.5000
14 H 0.1860 0.1829 0.0000
15 Cs 0.0000 0.5000 0.2500
16 Cs 0.5000 0.5000 0.0000
17 Cs 0.5000 0.0000 0.2500
18 Cs 0.0000 0.5000 0.7500
19 Cs 0.0000 0.0000 0.5000
20 Cs 0.5000 0.0000 0.7500

final energy = -3.305 eV/atom
space group = P4/mnc, No. 128



Record 15
Compound: CdTe2Se2
Source: Alexandria via LeMat-Bulk
Functional: PBE
Structure: relaxed

abc: 8.1178 8.1178 4.2018
angles: 90.00 90.00 90.00
Fractional coordinates of all 10 atoms:
1 Se 0.6552 0.8448 0.5000
2 Se 0.3448 0.1552 0.5000
3 Se 0.8448 0.3448 0.5000
4 Se 0.1552 0.6552 0.5000
5 Cd 0.5000 0.5000 0.0000
6 Cd 0.0000 0.0000 0.0000
7 Te 0.6795 0.1795 0.0000
8 Te 0.8205 0.6795 0.0000
9 Te 0.3205 0.8205 0.0000
10 Te 0.1795 0.3205 0.0000

final energy = -2.712 eV/atom
space group = P4/mbm, No. 127
formation energy without anion corrections = 0.122 eV per atom
excess energy over the best structure of this formula in the dataset = 162 meV per atom



Record 16
Compound: Pm3AgTe2
Source: Alexandria via LeMat-Bulk
Functional: PBE
Structure: relaxed

abc: 7.6010 7.6010 7.8022
angles: 99.43 99.43 120.25
Fractional coordinates of all 12 atoms:
1 Pm 0.0768 0.4101 0.2427
2 Pm 0.9143 0.5838 0.7541
3 Pm 0.5899 0.9232 0.7573
4 Pm 0.2505 0.2476 0.7541
5 Pm 0.4162 0.0857 0.2459
6 Pm 0.7524 0.7495 0.2459
7 Te 0.8333 0.1667 0.5000
8 Te 0.1710 0.8290 0.5000
9 Te 0.3333 0.6667 0.0000
10 Te 0.4957 0.5043 0.5000
11 Ag 0.6650 0.3350 0.0000
12 Ag 0.0016 0.9984 0.0000

final energy = -4.895 eV/atom
space group = C2/m, No. 12
formation energy without anion corrections = -0.997 eV per atom



Record 17
Compound: Sr2ZnB
Source: Alexandria via LeMat-Bulk
Functional: PBE
Structure: relaxed

abc: 8.0882 8.0882 6.8865
angles: 54.04 54.04 90.00
Fractional coordinates of all 8 atoms:
1 Sr 0.3750 0.4285 0.7500
2 Sr 0.1785 0.6250 0.2500
3 Sr 0.8750 0.8215 0.7500
4 Sr 0.5715 0.1250 0.2500
5 Zn 0.0000 0.0000 0.0000
6 Zn 0.7500 0.2500 0.5000
7 B 0.2500 0.7500 0.5000
8 B 0.5000 0.5000 0.0000

energy of formation = 0.63 eV/atom
final energy = -2.201 eV/atom
space group = I-42d, No. 122
excess energy over the best structure of this formula in the dataset = 218 meV per atom



Record 18
Compound: HoCd2Pd3
Source: Alexandria via LeMat-Bulk
Functional: PBE
Structure: relaxed

abc: 4.7381 4.7380 11.5426
angles: 90.01 90.00 120.00
Fractional coordinates of all 12 atoms:
1 Cd 0.6667 0.3333 0.8374
2 Cd 0.0000 0.0000 0.5000
3 Cd 0.3333 0.6667 0.1626
4 Cd 0.0000 0.0000 0.0000
5 Pd 0.3333 0.6667 0.4151
6 Pd 0.6667 0.3333 0.5849
7 Pd 0.0000 0.0000 0.2435
8 Pd 0.3333 0.6667 0.9171
9 Pd 0.6667 0.3333 0.0829
10 Pd 0.0000 0.0000 0.7565
11 Ho 0.3333 0.6667 0.6692
12 Ho 0.6667 0.3333 0.3308

energy of formation = -0.62 eV/atom
final energy = -4.287 eV/atom
space group = P-3m1, No. 164
excess energy over the best structure of this formula in the dataset = 0 meV per atom



Record 19
Compound: KTcHg2
Source: Alexandria via LeMat-Bulk
Functional: PBE
Structure: relaxed

abc: 8.1280 5.3655 2.9799
angles: 89.94 68.57 130.99
Fractional coordinates of all 4 atoms:
1 Hg 0.0000 0.0000 0.0000
2 Hg 0.5000 0.0000 0.5000
3 Tc 0.5000 0.5000 0.0000
4 K 0.0000 0.5000 0.5000

energy of formation = 0.60 eV/atom
final energy = -2.421 eV/atom
space group = Cmmm, No. 65
excess energy over the best structure of this formula in the dataset = 89 meV per atom



Record 20
Compound: SrErTh
Source: Alexandria via LeMat-Bulk
Functional: PBE
Structure: relaxed

abc: 3.6336 3.6336 8.7967
angles: 101.92 101.92 90.00
Fractional coordinates of all 3 atoms:
1 Th 0.6813 0.6813 0.3626
2 Er 0.3179 0.3179 0.6359
3 Sr 0.0008 0.0008 0.0016

energy of formation = 0.18 eV/atom
final energy = -4.374 eV/atom
space group = I4mm, No. 107



Record 21
Compound: Er4Ni2Rh
Source: Alexandria via LeMat-Bulk
Functional: PBE
Structure: relaxed

abc: 7.3134 7.3157 7.3134
angles: 109.15 109.12 110.14
Fractional coordinates of all 14 atoms:
1 Er 0.8757 0.6234 0.6281
2 Er 0.9952 0.2476 0.3718
3 Er 0.3744 0.5024 0.2477
4 Er 0.3768 0.0051 0.2523
5 Er 0.8736 0.6260 0.1284
6 Er 0.4973 0.7448 0.8716
7 Er 0.2543 0.1264 0.7522
8 Er 0.7525 0.1244 0.7479
9 Ni 0.5024 0.3749 0.6275
10 Ni 0.6250 0.2512 0.1259
11 Ni 0.1249 0.4987 0.8737
12 Ni 0.7479 0.8751 0.3730
13 Rh 0.9996 0.9995 0.9999
14 Rh 0.2505 0.7505 0.5000

energy of formation = -0.50 eV/atom
final energy = -5.808 eV/atom
space group = I2_12_12_1, No. 24
excess energy over the best structure of this formula in the dataset = 0 meV per atom



Record 22
Compound: Ce2InTc
Source: Alexandria via LeMat-Bulk
Functional: PBE
Structure: relaxed

abc: 4.3331 4.5941 4.5941
angles: 90.00 90.00 90.00
Fractional coordinates of all 4 atoms:
1 In 0.5000 0.0000 0.0000
2 Ce 0.0000 0.5000 0.0000
3 Ce 0.0000 0.0000 0.5000
4 Tc 0.5000 0.5000 0.5000

energy of formation = -0.07 eV/atom
final energy = -6.318 eV/atom
space group = P4/mmm, No. 123
excess energy over the best structure of this formula in the dataset = 139 meV per atom



Record 23
Compound: H3Rh
Source: Alexandria via LeMat-Bulk
Functional: PBE
Structure: relaxed

abc: 2.6716 4.1847 5.9384
angles: 110.63 90.00 90.00
Fractional coordinates of all 8 atoms:
1 H 0.7500 0.2006 0.7957
2 H 0.7500 0.5950 0.7957
3 H 0.2500 0.7994 0.2043
4 H 0.2500 0.7857 0.5714
5 H 0.2500 0.4050 0.2043
6 H 0.7500 0.2143 0.4286
7 Rh 0.7500 0.6751 0.3501
8 Rh 0.2500 0.3249 0.6499

final energy = -4.186 eV/atom
space group = Cmcm, No. 63
excess energy over the best structure of this formula in the dataset = 96 meV per atom



Record 24
Compound: Re2AgW
Source: Alexandria via LeMat-Bulk
Functional: PBE
Structure: relaxed

abc: 4.8469 4.8469 4.8469
angles: 131.45 131.45 71.10
Fractional coordinates of all 4 atoms:
1 Re 0.5000 0.5000 0.0000
2 Re 0.0000 0.0000 0.0000
3 Ag 0.7500 0.2500 0.5000
4 W 0.2500 0.7500 0.5000

energy of formation = 0.55 eV/atom
final energy = -9.627 eV/atom
space group = I4/mmm, No. 139
excess energy over the best structure of this formula in the dataset = 238 meV per atom